Entry from Alexandria: a relaxed structure of TaTc2Te (GGA-PBE).

The value obtained for the total moment is 0.00 μB/f.u. Its total energy is -34.8 eV per cell. The formation energy (no corrections) comes out at 1.0 eV per formula unit. For the density of states at the Fermi level, the calculation gives 2.5 states/eV/f.u.

The space group is P2/m (No. 10) and the conventional cell measures 4.522, 3.164 and 5.220 Å, with angles of 90.00, 112.60 and 90.00 degrees. The distinct sites, in fractional coordinates, are Ta at (0.000, 0.000, 0.000), Tc at (0.500, 0.000, 0.500), Tc at (0.500, 0.500, 0.000) and Te at (0.000, 0.500, 0.500).